(1)
# U2NbC3 PBE-GGA optimized geometry
# - Fermi-level density of states (states/eV/f.u.) = 7.0
# - E_tot (eV/cell) = -61.75
# - total moment (μB/cell) = 0.00
# - DFT formation energy (meV/atom) = -239
# - crystal system = tetragonal
data_U2NbC3
_chemical_formula_sum 'U2 Nb1 C3'
_cell_length_a 7.6274
_cell_length_b 7.6274
_cell_length_c 7.6274
_cell_angle_alpha 154.40
_cell_angle_beta 154.40
_cell_angle_gamma 36.52
_space_group_name_H-M_alt 'P 1'
_space_group_IT_number 1
loop_
_space_group_symop_operation_xyz
'x,y,z'
loop_
_atom_site_label
_atom_site_fract_x
_atom_site_fract_y
_atom_site_fract_z
U1 0.1632 0.1632 0.0000
U2 0.8368 0.8368 0.0000
Nb1 0.5000 0.5000 0.0000
C1 0.0000 0.0000 0.0000
C2 0.3423 0.3423 0.0000
C3 0.6577 0.6577 0.0000



(2)
# In2TcP PBE-GGA optimized geometry
# - Fermi-level density of states (states/eV/f.u.) = 4.4
# - E_tot (eV/cell) = -18.77
# - total moment (μB/cell) = 0.01
# - DFT formation energy (meV/atom) = 621
# - crystal system = cubic
data_In2TcP
_chemical_formula_sum 'In2 Tc1 P1'
_cell_length_a 4.7090
_cell_length_b 4.7090
_cell_length_c 4.7090
_cell_angle_alpha 60.00
_cell_angle_beta 60.00
_cell_angle_gamma 60.00
_space_group_name_H-M_alt 'P 1'
_space_group_IT_number 1
loop_
_space_group_symop_operation_xyz
'x,y,z'
loop_
_atom_site_label
_atom_site_fract_x
_atom_site_fract_y
_atom_site_fract_z
In1 0.0000 0.0000 0.0000
In2 0.2500 0.2500 0.2500
Tc1 0.7500 0.7500 0.7500
P1 0.5000 0.5000 0.5000



(3)
# Na3Ac3AsS8 PBE-GGA optimized geometry
# - Fermi-level density of states (states/eV/f.u.) = 2.7
# - E_tot (eV/cell) = -74.67
# - total moment (μB/cell) = 0.00
# - formation energy (no corrections) (eV/atom) = -1.38
# - crystal system = trigonal
data_Na3Ac3AsS8
_chemical_formula_sum 'Na3 Ac3 As1 S8'
_cell_length_a 8.3020
_cell_length_b 8.3020
_cell_length_c 8.3020
_cell_angle_alpha 61.48
_cell_angle_beta 61.48
_cell_angle_gamma 61.48
_space_group_name_H-M_alt 'P 1'
_space_group_IT_number 1
loop_
_space_group_symop_operation_xyz
'x,y,z'
loop_
_atom_site_label
_atom_site_fract_x
_atom_site_fract_y
_atom_site_fract_z
Na1 0.0000 0.5000 0.5000
Na2 0.5000 0.0000 0.5000
Na3 0.5000 0.5000 0.0000
Ac1 0.0000 0.0000 0.5000
Ac2 0.0000 0.5000 0.0000
Ac3 0.5000 0.0000 0.0000
As1 0.5000 0.5000 0.5000
S1 0.2478 0.2478 0.2478
S2 0.2840 0.2840 0.7150
S3 0.2840 0.7150 0.2840
S4 0.2850 0.7160 0.7160
S5 0.7150 0.2840 0.2840
S6 0.7160 0.2850 0.7160
S7 0.7160 0.7160 0.2850
S8 0.7522 0.7522 0.7522



(4)
# HoRh2Pb PBE-GGA optimized geometry
# - Fermi-level density of states (states/eV/f.u.) = 1.4
# - E_tot (eV/cell) = -25.27
# - total moment (μB/cell) = 0.00
# - DFT formation energy (meV/atom) = -571
# - crystal system = tetragonal
data_HoRh2Pb
_chemical_formula_sum 'Ho1 Rh2 Pb1'
_cell_length_a 4.5341
_cell_length_b 4.5341
_cell_length_c 3.7087
_cell_angle_alpha 90.00
_cell_angle_beta 90.00
_cell_angle_gamma 90.00
_space_group_name_H-M_alt 'P 1'
_space_group_IT_number 1
loop_
_space_group_symop_operation_xyz
'x,y,z'
loop_
_atom_site_label
_atom_site_fract_x
_atom_site_fract_y
_atom_site_fract_z
Ho1 0.0000 0.0000 0.0000
Rh1 0.0000 0.5000 0.5000
Rh2 0.5000 0.0000 0.5000
Pb1 0.5000 0.5000 0.0000



(5)
# Sm3HoGe4 PBE-GGA optimized geometry
# - Fermi-level density of states (states/eV/f.u.) = 7.0
# - E_tot (eV/cell) = -42.68
# - total moment (μB/cell) = 0.00
# - DFT formation energy (meV/atom) = -684
# - crystal system = orthorhombic
data_Sm3HoGe4
_chemical_formula_sum 'Sm3 Ho1 Ge4'
_cell_length_a 8.8555
_cell_length_b 8.8555
_cell_length_c 8.8555
_cell_angle_alpha 153.14
_cell_angle_beta 137.53
_cell_angle_gamma 50.97
_space_group_name_H-M_alt 'P 1'
_space_group_IT_number 1
loop_
_space_group_symop_operation_xyz
'x,y,z'
loop_
_atom_site_label
_atom_site_fract_x
_atom_site_fract_y
_atom_site_fract_z
Sm1 0.0000 0.0000 0.0000
Sm2 0.3047 0.8047 0.5000
Sm3 0.6953 0.1953 0.5000
Ho1 0.5000 0.5000 0.0000
Ge1 0.0633 0.3699 0.6933
Ge2 0.3234 0.6301 0.6933
Ge3 0.6766 0.3699 0.3067
Ge4 0.9367 0.6301 0.3067



(6)
# Al2Ag2As PBE-GGA optimized geometry
# - Fermi-level density of states (states/eV/f.u.) = 2.1
# - E_tot (eV/cell) = -34.25
# - total moment (μB/cell) = 0.00
# - DFT formation energy (meV/atom) = 143
# - crystal system = tetragonal
data_Al2Ag2As
_chemical_formula_sum 'Al4 Ag4 As2'
_cell_length_a 7.7553
_cell_length_b 7.7553
_cell_length_c 3.0147
_cell_angle_alpha 90.00
_cell_angle_beta 90.00
_cell_angle_gamma 90.00
_space_group_name_H-M_alt 'P 1'
_space_group_IT_number 1
loop_
_space_group_symop_operation_xyz
'x,y,z'
loop_
_atom_site_label
_atom_site_fract_x
_atom_site_fract_y
_atom_site_fract_z
Al1 0.1691 0.3309 0.0000
Al2 0.3309 0.8309 0.0000
Al3 0.6691 0.1691 0.0000
Al4 0.8309 0.6691 0.0000
Ag1 0.1313 0.6313 0.5000
Ag2 0.3687 0.1313 0.5000
Ag3 0.6313 0.8687 0.5000
Ag4 0.8687 0.3687 0.5000
As1 0.0000 0.0000 0.5000
As2 0.5000 0.5000 0.5000